Rb4TeF2 PBE-GGA relaxed; distance to the lowest polymorph of the same formula = 0 meV/atom; raw total energy = -3.409 eV/atom; energy relative to the elements, uncorrected = -1.873 eV per atom
1.0
-3.597 -0.817 2.968
6.214 -0.389 3.648
-0.823 14.225 2.919
F Rb Te
4 8 2
direct
0.865 0.730 0.941 F
0.865 0.730 0.559 F
0.135 0.270 0.441 F
0.135 0.270 0.059 F
0.231 0.463 0.897 Rb
0.769 0.537 0.397 Rb
0.769 0.537 0.103 Rb
0.918 0.836 0.750 Rb
0.231 0.463 0.603 Rb
0.500 0.000 0.500 Rb
0.082 0.164 0.250 Rb
0.500 0.000 0.000 Rb
0.609 0.218 0.750 Te
0.391 0.782 0.250 Te